Entry 1:
VASP calculation (PBE) on an optimized crystal structure of LiAgGe2.

Calculated values
ΔH_f (0 K): 0.0353 eV per atom
total moment: 0.00 μB per formula unit
polymorph energy (0 for the lowest one): 95 meV per atom
DOS at the Fermi energy: 2.40 states/eV/f.u.

POSCAR file:
```
LiAgGe2
1.0
3.292 0.000 0.000
0.000 3.292 0.000
0.000 0.000 6.537
Ag Ge Li
1 2 1
Cartesian
1.646 1.646 3.269
0.000 0.000 4.922
0.000 0.000 1.615
1.646 1.646 0.000
```

Entry 2:
VASP calculation (PBE) on an optimized crystal structure of Li3Ag2Ge.

Calculated values
ΔH_f (0 K): -0.2243 eV per atom
total moment: 0.00 μB per formula unit
polymorph energy (0 for the lowest one): 0 meV per atom
DOS at the Fermi energy: 2.18 states/eV/f.u.

POSCAR file:
```
Li3Ag2Ge
1.0
3.306 0.000 0.000
0.000 4.330 0.000
0.000 0.000 13.066
Li Ag Ge
6 4 2
Cartesian
1.653 2.165 4.426
1.653 2.165 0.000
1.653 2.165 8.639
1.653 0.000 6.533
1.653 0.000 2.107
1.653 0.000 10.959
3.306 0.000 4.348
0.000 2.165 10.881
3.306 0.000 8.718
0.000 2.165 2.185
0.000 0.000 0.000
3.306 2.165 6.533
```

Entry 3:
VASP calculation (PBE) on an optimized crystal structure of Li5AgGe3.

Calculated values
ΔH_f (0 K): -0.1277 eV per atom
total moment: 0.00 μB per formula unit
DOS at the Fermi energy: 2.94 states/eV/f.u.

POSCAR file:
```
Li5AgGe3
1.0
6.510 -1.127 1.415
0.698 6.569 1.415
3.618 2.732 9.856
Ag Ge Li
2 6 10
Cartesian
8.071 6.095 5.257
2.754 2.080 7.429
0.000 0.000 0.000
7.816 5.902 10.074
4.861 3.670 7.479
1.809 1.366 4.928
5.965 4.504 5.207
3.010 2.273 2.612
7.143 2.170 4.909
4.043 6.276 4.909
6.952 5.249 7.622
2.237 4.531 1.415
3.873 2.925 5.064
5.702 4.305 9.992
3.683 6.004 7.778
4.970 0.911 1.415
6.783 1.898 7.778
5.123 3.869 2.694
```

Entry 4:
VASP calculation (PBE) on an optimized crystal structure of Li3Ag2Ge4.

Calculated values
ΔH_f (0 K): -0.1506 eV per atom
total moment: 0.00 μB per formula unit
DOS at the Fermi energy: 1.89 states/eV/f.u.

POSCAR file:
```
Li3Ag2Ge4
1.0
3.923 0.000 0.000
0.000 6.595 1.583
-1.962 -1.428 5.878
Ge Li Ag
4 3 2
Cartesian
1.962 3.802 5.248
1.962 1.953 0.666
0.000 1.365 2.213
0.000 3.214 6.795
0.000 0.000 0.000
0.000 3.808 3.229
1.962 1.359 4.232
1.962 5.809 3.426
0.000 -0.642 4.035
```

Entry 5:
VASP calculation (PBE) on an optimized crystal structure of LiAgGe2.

Calculated values
ΔH_f (0 K): 0.0060 eV per atom
total moment: 0.00 μB per formula unit
polymorph energy (0 for the lowest one): 65 meV per atom
DOS at the Fermi energy: 1.61 states/eV/f.u.

POSCAR file:
```
LiAgGe2
1.0
-1.393 0.721 -4.090
2.563 -1.030 -3.400
-1.458 -4.322 -2.611
Ge Li Ag
2 1 1
Cartesian
-1.051 -3.393 -2.586
0.014 -0.961 -2.520
-0.250 -2.558 -5.058
-0.603 -4.357 -7.600
```

Entry 6:
VASP calculation (PBE) on an optimized crystal structure of Li3Ag7Ge.

Calculated values
ΔH_f (0 K): 0.0207 eV per atom
total moment: 0.00 μB per formula unit
DOS at the Fermi energy: 3.10 states/eV/f.u.

POSCAR file:
```
Li3Ag7Ge
1.0
4.988 -0.210 -0.269
-2.678 6.479 0.384
-2.678 -1.198 6.379
Ag Li Ge
7 3 1
Cartesian
-0.302 1.354 5.981
-0.302 5.474 2.763
-2.678 2.641 3.382
0.267 0.894 1.144
-0.636 4.178 5.350
-0.066 -0.403 3.731
-0.066 3.717 0.514
-2.678 4.706 1.768
-2.678 0.575 4.995
2.494 -0.105 -0.134
-0.184 2.536 3.247
```

Entry 7:
VASP calculation (PBE) on an optimized crystal structure of Li4Ag7Ge.

Calculated values
ΔH_f (0 K): -0.1399 eV per atom
total moment: 0.00 μB per formula unit
DOS at the Fermi energy: 2.97 states/eV/f.u.

POSCAR file:
```
Li4Ag7Ge
1.0
-4.022 3.831 0.021
-2.814 -4.636 -0.835
-3.022 -0.443 6.410
Li Ge Ag
4 1 7
Cartesian
-4.843 -1.383 1.581
-7.416 -1.272 3.684
-5.014 0.135 4.014
-2.441 0.023 1.911
0.000 0.000 0.000
-6.887 0.502 1.639
-2.011 1.915 0.011
-5.382 -1.732 5.946
-2.970 -1.750 3.957
-4.455 2.021 2.134
-5.402 -3.270 3.461
-4.475 0.484 -0.351
```

Entry 8:
VASP calculation (PBE) on an optimized crystal structure of Li2Ag3Ge2.

Calculated values
ΔH_f (0 K): -0.1260 eV per atom
total moment: 0.00 μB per formula unit
polymorph energy (0 for the lowest one): 0 meV per atom
DOS at the Fermi energy: 2.57 states/eV/f.u.

POSCAR file:
```
Li2Ag3Ge2
1.0
-1.370 2.719 -0.114
-3.534 -1.819 -0.931
-0.366 0.229 9.891
Ag Ge Li
3 2 2
Cartesian
0.000 0.000 0.000
-2.767 0.349 0.871
-2.502 0.779 7.976
-1.921 0.965 5.406
-3.348 0.164 3.441
-3.260 -1.386 6.135
-0.639 -0.204 2.826
```

Entry 9:
VASP calculation (PBE) on an optimized crystal structure of Li2Ag3Ge.

Calculated values
ΔH_f (0 K): -0.1559 eV per atom
total moment: 0.00 μB per formula unit
polymorph energy (0 for the lowest one): 0 meV per atom
DOS at the Fermi energy: 1.51 states/eV/f.u.

POSCAR file:
```
Li2Ag3Ge
1.0
4.244 0.000 -0.004
0.000 7.496 0.000
-2.128 -3.748 6.229
Ag Ge Li
6 2 4
Cartesian
2.118 -1.874 4.116
-0.001 5.622 2.109
2.118 1.874 4.116
2.122 1.874 -0.002
-0.001 1.874 2.109
2.122 5.622 -0.002
0.000 3.748 0.000
0.000 0.000 0.000
2.120 0.000 2.028
-0.004 0.000 4.198
2.120 3.748 2.028
-0.003 3.748 4.198
```

Entry 10:
VASP calculation (PBE) on an optimized crystal structure of LiAg2Ge2.

Calculated values
ΔH_f (0 K): 0.0460 eV per atom
total moment: 0.00 μB per formula unit
polymorph energy (0 for the lowest one): 0 meV per atom
DOS at the Fermi energy: 2.10 states/eV/f.u.

POSCAR file:
```
LiAg2Ge2
1.0
-3.915 -1.508 -1.075
-0.491 -1.579 4.002
-4.438 3.139 3.037
Ge Li Ag
2 1 2
Cartesian
-2.695 -0.511 1.811
-6.148 0.564 4.154
0.000 0.000 0.000
-5.278 0.044 1.713
-3.566 0.009 4.252
```

Entry 11:
VASP calculation (PBE) on an optimized crystal structure of Li4AgGe.

Calculated values
ΔH_f (0 K): -0.1471 eV per atom
total moment: 0.00 μB per formula unit
polymorph energy (0 for the lowest one): 132 meV per atom
DOS at the Fermi energy: 2.24 states/eV/f.u.

POSCAR file:
```
Li4AgGe
1.0
5.109 0.000 -0.500
0.000 6.585 0.000
-2.060 -3.293 6.727
Ge Li Ag
2 8 2
Cartesian
2.883 3.293 3.771
0.166 0.000 2.456
0.000 5.457 0.000
2.732 1.573 1.618
0.248 3.293 2.403
0.317 -1.720 4.608
2.800 0.000 3.823
2.732 5.012 1.618
0.000 1.128 0.000
0.317 1.720 4.608
3.818 3.293 -0.355
-0.769 0.000 6.581
```

Entry 12:
VASP calculation (PBE) on an optimized crystal structure of LiAg2Ge2.

Calculated values
ΔH_f (0 K): 0.0572 eV per atom
total moment: 0.00 μB per formula unit
polymorph energy (0 for the lowest one): 11 meV per atom
DOS at the Fermi energy: 1.27 states/eV/f.u.

POSCAR file:
```
LiAg2Ge2
1.0
7.941 0.000 0.000
0.000 7.941 0.000
0.000 0.000 3.053
Ag Ge Li
4 4 2
Cartesian
5.159 6.753 1.526
2.783 1.188 1.526
1.188 5.159 1.526
6.753 2.783 1.526
2.788 6.759 0.000
6.759 5.153 0.000
5.153 1.182 0.000
1.182 2.788 0.000
0.000 0.000 0.000
3.971 3.971 0.000
```

Entry 13:
VASP calculation (PBE) on an optimized crystal structure of Li3Ag7Ge2.

Calculated values
ΔH_f (0 K): -0.0487 eV per atom
total moment: 0.00 μB per formula unit
DOS at the Fermi energy: 3.53 states/eV/f.u.

POSCAR file:
```
Li3Ag7Ge2
1.0
3.014 0.000 0.000
0.000 4.592 0.003
0.000 -2.273 15.349
Li Ag Ge
3 7 2
Cartesian
1.507 2.296 0.001
0.000 2.298 9.781
0.000 0.022 5.571
0.000 0.000 0.000
1.507 2.282 12.483
0.000 2.336 2.063
1.507 0.013 8.407
1.507 2.307 6.945
0.000 -0.017 13.289
1.507 0.037 2.869
1.507 -0.005 10.965
1.507 2.324 4.387
```

Entry 14:
VASP calculation (PBE) on an optimized crystal structure of LiAgGe2.

Calculated values
ΔH_f (0 K): 0.1260 eV per atom
total moment: 0.00 μB per formula unit
polymorph energy (0 for the lowest one): 185 meV per atom
DOS at the Fermi energy: 1.91 states/eV/f.u.

POSCAR file:
```
LiAgGe2
1.0
-2.573 6.721 2.599
-5.701 -0.210 -5.100
-5.667 1.988 0.513
Ag Ge Li
2 4 2
Cartesian
0.000 0.000 0.000
-6.188 5.982 0.930
-5.233 1.027 -2.803
-7.202 3.938 -0.418
-11.641 7.182 -1.939
-3.806 4.850 1.184
-7.752 2.517 -2.919
-4.137 3.256 -1.251
```

Entry 15:
VASP calculation (PBE) on an optimized crystal structure of LiAgGe.

Calculated values
ΔH_f (0 K): -0.1470 eV per atom
total moment: 0.00 μB per formula unit
DOS at the Fermi energy: 1.08 states/eV/f.u.

POSCAR file:
```
LiAgGe
1.0
2.830 -0.338 0.237
0.567 5.036 0.324
1.044 1.626 7.105
Ag Ge Li
2 2 2
Cartesian
3.600 5.139 7.410
0.841 1.185 0.255
2.503 4.936 2.872
1.938 1.388 4.794
3.622 3.657 5.168
0.819 2.667 2.498
```

Entry 16:
VASP calculation (PBE) on an optimized crystal structure of Li4Ag2Ge.

Calculated values
ΔH_f (0 K): 0.0808 eV per atom
total moment: 0.00 μB per formula unit
polymorph energy (0 for the lowest one): 284 meV per atom
DOS at the Fermi energy: 3.31 states/eV/f.u.

POSCAR file:
```
Li4Ag2Ge
1.0
4.701 0.000 0.000
0.000 4.701 0.000
2.350 2.350 6.681
Li Ag Ge
4 2 1
Cartesian
2.350 0.000 0.000
2.350 2.350 4.159
0.000 2.350 0.000
4.701 4.701 2.523
2.350 2.350 1.436
4.701 4.701 5.245
0.000 0.000 0.000
```

Entry 17:
VASP calculation (PBE) on an optimized crystal structure of Li3Ag2Ge2.

Calculated values
ΔH_f (0 K): -0.2659 eV per atom
total moment: 0.00 μB per formula unit
DOS at the Fermi energy: 1.71 states/eV/f.u.

POSCAR file:
```
Li3Ag2Ge2
1.0
4.517 0.000 0.000
-2.258 3.833 -0.297
0.000 -2.237 6.619
Li Ge Ag
3 2 2
Cartesian
2.258 0.126 2.721
2.258 0.000 0.000
0.000 1.470 3.601
0.000 -1.026 4.661
2.258 2.621 1.661
2.258 0.292 5.358
0.000 1.303 0.964
```

Entry 18:
VASP calculation (PBE) on an optimized crystal structure of Li2Ag5Ge.

Calculated values
ΔH_f (0 K): -0.1237 eV per atom
total moment: 0.00 μB per formula unit
polymorph energy (0 for the lowest one): 0 meV per atom
DOS at the Fermi energy: 1.79 states/eV/f.u.

POSCAR file:
```
Li2Ag5Ge
1.0
4.304 0.000 0.000
0.000 5.569 0.000
0.000 0.000 11.254
Ag Ge Li
10 2 4
Cartesian
0.000 0.000 0.000
2.152 1.251 6.978
0.000 5.361 8.378
2.152 4.036 9.903
2.152 4.318 4.276
0.000 2.993 2.751
0.000 2.785 5.627
0.000 0.208 2.875
0.000 2.577 8.502
2.152 1.533 1.351
0.000 2.785 0.000
0.000 0.000 5.627
2.152 1.540 4.180
2.152 4.324 1.447
2.152 4.029 7.074
2.152 1.245 9.807
```

Entry 19:
VASP calculation (PBE) on an optimized crystal structure of LiAgGe.

Calculated values
ΔH_f (0 K): -0.1704 eV per atom
total moment: 0.00 μB per formula unit
DOS at the Fermi energy: 0.41 states/eV/f.u.

POSCAR file:
```
LiAgGe
1.0
-2.270 -1.041 3.755
1.882 -3.262 -2.475
4.781 0.481 3.024
Ge Li Ag
2 2 2
Cartesian
3.496 0.349 2.211
0.896 -4.172 2.093
0.987 -1.592 2.863
3.406 -2.231 1.440
3.284 -1.364 4.316
1.108 -2.459 -0.012
```

Entry 20:
VASP calculation (PBE) on an optimized crystal structure of Li8Ag5Ge.

Calculated values
ΔH_f (0 K): -0.1279 eV per atom
total moment: 0.00 μB per formula unit
DOS at the Fermi energy: 3.55 states/eV/f.u.

POSCAR file:
```
Li8Ag5Ge
1.0
6.774 -0.038 0.065
-2.327 6.361 -0.065
-2.119 -3.235 5.562
Ag Li Ge
5 8 1
Cartesian
2.317 2.007 3.046
3.432 4.322 1.570
2.564 0.911 0.304
5.233 2.133 0.707
2.327 -1.636 2.813
0.301 0.373 1.935
0.469 2.740 4.929
-1.885 2.988 3.210
1.331 -0.067 4.638
-1.870 -1.756 4.249
1.068 3.105 1.010
4.141 0.150 2.265
-3.138 1.622 5.507
-1.059 0.745 4.155
```

Entry 21:
VASP calculation (PBE) on an optimized crystal structure of Li2Ag3Ge.

Calculated values
ΔH_f (0 K): -0.1247 eV per atom
total moment: 0.00 μB per formula unit
polymorph energy (0 for the lowest one): 31 meV per atom
DOS at the Fermi energy: 2.38 states/eV/f.u.

POSCAR file:
```
Li2Ag3Ge
1.0
-1.284 -3.968 -3.422
3.330 -4.234 -0.304
-5.203 0.392 7.733
Ag Li Ge
6 4 2
Cartesian
-3.950 -1.159 5.746
-1.380 -1.225 1.938
0.793 -6.651 -1.739
-0.165 -2.810 0.005
-2.992 -5.000 4.001
-1.777 -6.585 2.069
-0.425 -3.971 2.783
2.208 -4.169 -1.062
-0.162 -4.033 -2.664
-2.732 -3.839 1.224
-2.743 -2.434 3.852
-0.414 -5.376 0.155
```

Entry 22:
VASP calculation (PBE) on an optimized crystal structure of Li4Ag2Ge.

Calculated values
ΔH_f (0 K): -0.1487 eV per atom
total moment: 0.00 μB per formula unit
polymorph energy (0 for the lowest one): 55 meV per atom
DOS at the Fermi energy: 1.83 states/eV/f.u.

POSCAR file:
```
Li4Ag2Ge
1.0
-2.663 -0.493 -0.973
-1.991 -1.813 6.369
0.842 6.949 -1.572
Li Ag Ge
4 2 1
Cartesian
-1.612 3.812 2.480
-2.270 4.856 -0.504
-2.199 0.830 1.344
-1.542 -0.213 4.328
-0.562 2.769 0.134
-3.250 1.873 3.690
0.000 0.000 0.000
```

Entry 23:
VASP calculation (PBE) on an optimized crystal structure of LiAgGe2.

Calculated values
ΔH_f (0 K): -0.0099 eV per atom
total moment: 0.00 μB per formula unit
polymorph energy (0 for the lowest one): 50 meV per atom
DOS at the Fermi energy: 0.87 states/eV/f.u.

POSCAR file:
```
LiAgGe2
1.0
-0.241 2.654 3.790
-4.063 1.795 1.316
-2.108 -1.586 3.809
Ag Ge Li
1 2 1
Cartesian
-3.207 1.432 4.457
-4.810 2.148 6.686
-1.603 0.716 2.229
0.000 0.000 0.000
```